A geometry-optimized BaLiMnO3 structure, computed with PBE+U.

a b c (Å): 5.9564 5.9564 5.5071
angles (deg): 90.00 90.00 124.61
Positions (direct):
1 Ba 0.2202 0.7798 0.7500
2 Ba 0.7798 0.2202 0.2500
3 Li 0.0749 0.9251 0.2500
4 Li 0.9251 0.0749 0.7500
5 Mn 0.4616 0.5384 0.2500
6 Mn 0.5384 0.4616 0.7500
7 O 0.2586 0.2586 0.0000
8 O 0.2586 0.2586 0.5000
9 O 0.2622 0.7378 0.2500
10 O 0.7378 0.2622 0.7500
11 O 0.7414 0.7414 0.0000
12 O 0.7414 0.7414 0.5000

E_tot ... -76.8 eV for the cell shown
Symmetry ... No. 63



A geometry-optimized BaLi2MnO4 structure, computed with PBE+U.

a b c (Å): 5.3271 5.3271 5.3271
angles (deg): 119.44 119.44 90.98
Positions (direct):
1 Ba 0.0000 0.0000 0.0000
2 Li 0.2500 0.7500 0.5000
3 Li 0.7500 0.2500 0.5000
4 Mn 0.5000 0.5000 0.0000
5 O 0.1592 0.1592 0.6368
6 O 0.4777 0.8408 0.0000
7 O 0.5223 0.5223 0.3631
8 O 0.8408 0.4777 0.0000

E_tot ... -48.0 eV for the cell shown
Symmetry ... No. 121



Which of these has the lowest E_tot?
BaLiMnO3



Which of these has the lowest E_tot?
BaLiMnO3



Repeat the first record exactly.
A geometry-optimized BaLiMnO3 structure, computed with PBE+U.

a b c (Å): 5.9564 5.9564 5.5071
angles (deg): 90.00 90.00 124.61
Positions (direct):
1 Ba 0.2202 0.7798 0.7500
2 Ba 0.7798 0.2202 0.2500
3 Li 0.0749 0.9251 0.2500
4 Li 0.9251 0.0749 0.7500
5 Mn 0.4616 0.5384 0.2500
6 Mn 0.5384 0.4616 0.7500
7 O 0.2586 0.2586 0.0000
8 O 0.2586 0.2586 0.5000
9 O 0.2622 0.7378 0.2500
10 O 0.7378 0.2622 0.7500
11 O 0.7414 0.7414 0.0000
12 O 0.7414 0.7414 0.5000

E_tot ... -76.8 eV for the cell shown
Symmetry ... No. 63



The lowest E_tot belongs to which entry?
BaLiMnO3